{"formula": "PmDyOsO6", "functional": "PBE", "state": "relaxed", "lattice_angstrom": [[5.524, 0.000, 0.000], [-2.762, 4.784, 0.000], [0.000, 0.000, 9.828]], "species": ["Pm", "Pm", "Dy", "Dy", "Os", "Os", "O", "O", "O", "O", "O", "O", "O", "O", "O", "O", "O", "O"], "fractional_positions": [[0.000, 0.000, 0.000], [0.000, 0.000, 0.500], [0.333, 0.667, 0.250], [0.667, 0.333, 0.750], [0.333, 0.667, 0.750], [0.667, 0.333, 0.250], [0.043, 0.375, 0.638], [0.043, 0.668, 0.862], [0.332, 0.375, 0.862], [0.332, 0.957, 0.638], [0.375, 0.043, 0.138], [0.375, 0.332, 0.362], [0.625, 0.668, 0.638], [0.625, 0.957, 0.862], [0.668, 0.043, 0.362], [0.668, 0.625, 0.138], [0.957, 0.332, 0.138], [0.957, 0.625, 0.362]], "sg": "No. 163", "crystal_system": "trigonal"}

***

{"formula": "PrDy2OsO8", "functional": "PBE", "state": "relaxed", "lattice_angstrom": [[3.575, -3.617, 0.000], [3.575, 3.617, 0.000], [0.000, 0.000, 6.911]], "species": ["Pr", "Dy", "Dy", "Os", "O", "O", "O", "O", "O", "O", "O", "O"], "fractional_positions": [[0.000, 0.000, 0.000], [0.500, 0.500, 0.248], [0.500, 0.500, 0.752], [0.000, 0.000, 0.500], [0.186, 0.186, 0.298], [0.186, 0.186, 0.702], [0.261, 0.739, 0.500], [0.317, 0.683, 0.000], [0.683, 0.317, 0.000], [0.739, 0.261, 0.500], [0.814, 0.814, 0.298], [0.814, 0.814, 0.702]], "sg": "No. 65", "crystal_system": "orthorhombic"}

***

{"formula": "Rb2DyOsO6", "functional": "PBE", "state": "relaxed", "lattice_angstrom": [[6.442, 0.000, 0.000], [-3.221, 5.579, 0.000], [0.000, 0.000, 5.771]], "species": ["Rb", "Rb", "Dy", "Os", "O", "O", "O", "O", "O", "O"], "fractional_positions": [[0.333, 0.667, 0.124], [0.667, 0.333, 0.876], [0.000, 0.000, 0.500], [0.000, 0.000, 0.000], [0.136, 0.272, 0.796], [0.136, 0.864, 0.796], [0.272, 0.136, 0.204], [0.728, 0.864, 0.796], [0.864, 0.136, 0.204], [0.864, 0.728, 0.204]], "sg": "No. 164", "crystal_system": "trigonal"}

***

{"formula": "RbDyOsO6", "functional": "PBE", "state": "relaxed", "lattice_angstrom": [[5.644, 0.000, 0.000], [-2.822, 4.888, 0.000], [0.000, 0.000, 6.139]], "species": ["Rb", "Dy", "Os", "O", "O", "O", "O", "O", "O"], "fractional_positions": [[0.000, 0.000, 0.000], [0.333, 0.667, 0.500], [0.667, 0.333, 0.500], [0.412, 0.049, 0.678], [0.412, 0.363, 0.322], [0.637, 0.049, 0.322], [0.637, 0.588, 0.678], [0.951, 0.363, 0.678], [0.951, 0.588, 0.322]], "sg": "No. 149", "crystal_system": "trigonal"}

***

{"formula": "RbDy2OsO8", "functional": "PBE", "state": "relaxed", "lattice_angstrom": [[4.352, 0.000, 0.000], [0.257, 5.225, 0.000], [2.040, 0.064, 7.119]], "species": ["Rb", "Dy", "Dy", "Os", "O", "O", "O", "O", "O", "O", "O", "O"], "fractional_positions": [[0.000, 0.000, 0.000], [0.394, 0.526, 0.302], [0.606, 0.474, 0.698], [0.000, 0.000, 0.500], [0.167, 0.308, 0.588], [0.216, 0.773, 0.624], [0.322, 0.494, 0.011], [0.344, 0.968, 0.278], [0.656, 0.032, 0.722], [0.678, 0.506, 0.989], [0.784, 0.227, 0.376], [0.833, 0.692, 0.412]], "sg": "No. 2", "crystal_system": "triclinic"}

***

{"formula": "DyScOsO6", "functional": "PBE", "state": "relaxed", "lattice_angstrom": [[5.281, 0.000, 0.000], [-2.641, 4.574, 0.000], [0.000, 0.000, 9.710]], "species": ["Dy", "Dy", "Sc", "Sc", "Os", "Os", "O", "O", "O", "O", "O", "O", "O", "O", "O", "O", "O", "O"], "fractional_positions": [[0.000, 0.000, 0.000], [0.000, 0.000, 0.500], [0.333, 0.667, 0.250], [0.667, 0.333, 0.750], [0.333, 0.667, 0.750], [0.667, 0.333, 0.250], [0.024, 0.366, 0.638], [0.024, 0.659, 0.862], [0.341, 0.366, 0.862], [0.341, 0.976, 0.638], [0.366, 0.024, 0.138], [0.366, 0.341, 0.362], [0.634, 0.659, 0.638], [0.634, 0.976, 0.862], [0.659, 0.024, 0.362], [0.659, 0.634, 0.138], [0.976, 0.341, 0.138], [0.976, 0.634, 0.362]], "sg": "No. 163", "crystal_system": "trigonal"}

***

{"formula": "SmDyOsO6", "functional": "PBE", "state": "relaxed", "lattice_angstrom": [[5.521, 0.000, 0.000], [-2.760, 4.781, 0.000], [0.000, 0.000, 9.753]], "species": ["Sm", "Sm", "Dy", "Dy", "Os", "Os", "O", "O", "O", "O", "O", "O", "O", "O", "O", "O", "O", "O"], "fractional_positions": [[0.000, 0.000, 0.000], [0.000, 0.000, 0.500], [0.333, 0.667, 0.250], [0.667, 0.333, 0.750], [0.333, 0.667, 0.750], [0.667, 0.333, 0.250], [0.043, 0.374, 0.637], [0.043, 0.669, 0.863], [0.331, 0.374, 0.863], [0.331, 0.957, 0.637], [0.374, 0.043, 0.137], [0.374, 0.331, 0.363], [0.626, 0.669, 0.637], [0.626, 0.957, 0.863], [0.669, 0.043, 0.363], [0.669, 0.626, 0.137], [0.957, 0.331, 0.137], [0.957, 0.626, 0.363]], "sg": "No. 163", "crystal_system": "trigonal"}

***

{"formula": "SmDy2OsO8", "functional": "PBE", "state": "relaxed", "lattice_angstrom": [[3.577, -3.586, 0.000], [3.577, 3.586, 0.000], [0.000, 0.000, 6.844]], "species": ["Sm", "Dy", "Dy", "Os", "O", "O", "O", "O", "O", "O", "O", "O"], "fractional_positions": [[0.000, 0.000, 0.000], [0.500, 0.500, 0.247], [0.500, 0.500, 0.753], [0.000, 0.000, 0.500], [0.185, 0.185, 0.295], [0.185, 0.185, 0.705], [0.262, 0.738, 0.500], [0.313, 0.687, 0.000], [0.687, 0.313, 0.000], [0.738, 0.262, 0.500], [0.815, 0.815, 0.295], [0.815, 0.815, 0.705]], "sg": "No. 65", "crystal_system": "orthorhombic"}

***

{"formula": "SrDyOsO6", "functional": "PBE", "state": "relaxed", "lattice_angstrom": [[5.583, 0.000, 0.000], [-2.791, 4.835, 0.000], [0.000, 0.000, 10.379]], "species": ["Sr", "Sr", "Dy", "Dy", "Os", "Os", "O", "O", "O", "O", "O", "O", "O", "O", "O", "O", "O", "O"], "fractional_positions": [[0.000, 0.000, 0.000], [0.000, 0.000, 0.500], [0.333, 0.667, 0.250], [0.667, 0.333, 0.750], [0.333, 0.667, 0.750], [0.667, 0.333, 0.250], [0.046, 0.390, 0.646], [0.046, 0.656, 0.854], [0.344, 0.390, 0.854], [0.344, 0.954, 0.646], [0.390, 0.046, 0.146], [0.390, 0.344, 0.354], [0.610, 0.656, 0.646], [0.610, 0.954, 0.854], [0.656, 0.046, 0.354], [0.656, 0.610, 0.146], [0.954, 0.344, 0.146], [0.954, 0.610, 0.354]], "sg": "No. 163", "crystal_system": "trigonal"}

***

{"formula": "Tb2DyOsO8", "functional": "PBE", "state": "relaxed", "lattice_angstrom": [[3.563, -3.590, 0.000], [3.563, 3.590, 0.000], [0.000, 0.000, 6.793]], "species": ["Tb", "Tb", "Dy", "Os", "O", "O", "O", "O", "O", "O", "O", "O"], "fractional_positions": [[0.000, 0.000, 0.247], [0.000, 0.000, 0.753], [0.500, 0.500, 0.000], [0.500, 0.500, 0.500], [0.193, 0.193, 0.000], [0.237, 0.237, 0.500], [0.318, 0.682, 0.290], [0.318, 0.682, 0.710], [0.682, 0.318, 0.290], [0.682, 0.318, 0.710], [0.763, 0.763, 0.500], [0.807, 0.807, 0.000]], "sg": "No. 65", "crystal_system": "orthorhombic"}

***

{"formula": "Dy2Tl2OsO6", "functional": "PBE", "state": "relaxed", "lattice_angstrom": [[2.882, -5.042, 0.000], [2.882, 5.042, 0.000], [-0.703, 0.000, 7.072]], "species": ["Dy", "Dy", "Tl", "Tl", "Os", "O", "O", "O", "O", "O", "O"], "fractional_positions": [[0.165, 0.835, 0.000], [0.835, 0.165, 0.000], [0.344, 0.656, 0.500], [0.656, 0.344, 0.500], [0.500, 0.500, 0.000], [0.181, 0.486, 0.852], [0.219, 0.219, 0.149], [0.486, 0.181, 0.852], [0.514, 0.819, 0.148], [0.781, 0.781, 0.851], [0.819, 0.514, 0.148]], "sg": "No. 12", "crystal_system": "monoclinic"}

***

{"formula": "DyTl2OsO6", "functional": "PBE", "state": "relaxed", "lattice_angstrom": [[6.432, 0.000, 0.000], [-3.216, 5.570, 0.000], [0.000, 0.000, 5.765]], "species": ["Dy", "Tl", "Tl", "Os", "O", "O", "O", "O", "O", "O"], "fractional_positions": [[0.000, 0.000, 0.000], [0.333, 0.667, 0.539], [0.667, 0.333, 0.461], [0.000, 0.000, 0.500], [0.137, 0.275, 0.298], [0.137, 0.863, 0.298], [0.275, 0.137, 0.702], [0.725, 0.863, 0.298], [0.863, 0.137, 0.702], [0.863, 0.725, 0.702]], "sg": "No. 164", "crystal_system": "trigonal"}

***

{"formula": "DyTm2OsO8", "functional": "PBE", "state": "relaxed", "lattice_angstrom": [[3.518, -3.537, 0.000], [3.518, 3.537, 0.000], [0.000, 0.000, 6.709]], "species": ["Dy", "Tm", "Tm", "Os", "O", "O", "O", "O", "O", "O", "O", "O"], "fractional_positions": [[0.000, 0.000, 0.000], [0.500, 0.500, 0.246], [0.500, 0.500, 0.754], [0.000, 0.000, 0.500], [0.186, 0.814, 0.290], [0.186, 0.814, 0.710], [0.268, 0.268, 0.500], [0.310, 0.310, 0.000], [0.690, 0.690, 0.000], [0.732, 0.732, 0.500], [0.814, 0.186, 0.290], [0.814, 0.186, 0.710]], "sg": "No. 65", "crystal_system": "orthorhombic"}

***

{"formula": "DyTmOsO6", "functional": "PBE", "state": "relaxed", "lattice_angstrom": [[5.433, 0.000, 0.000], [-2.716, 4.705, 0.000], [0.000, 0.000, 9.560]], "species": ["Dy", "Dy", "Tm", "Tm", "Os", "Os", "O", "O", "O", "O", "O", "O", "O", "O", "O", "O", "O", "O"], "fractional_positions": [[0.000, 0.000, 0.000], [0.000, 0.000, 0.500], [0.333, 0.667, 0.250], [0.667, 0.333, 0.750], [0.333, 0.667, 0.750], [0.667, 0.333, 0.250], [0.038, 0.369, 0.635], [0.038, 0.670, 0.865], [0.330, 0.369, 0.865], [0.330, 0.962, 0.635], [0.369, 0.038, 0.135], [0.369, 0.330, 0.365], [0.631, 0.670, 0.635], [0.631, 0.962, 0.865], [0.670, 0.038, 0.365], [0.670, 0.631, 0.135], [0.962, 0.330, 0.135], [0.962, 0.631, 0.365]], "sg": "No. 163", "crystal_system": "trigonal"}

***

{"formula": "Dy2TmOsO8", "functional": "PBE", "state": "relaxed", "lattice_angstrom": [[3.533, -3.575, 0.000], [3.533, 3.575, 0.000], [0.000, 0.000, 6.727]], "species": ["Dy", "Dy", "Tm", "Os", "O", "O", "O", "O", "O", "O", "O", "O"], "fractional_positions": [[0.000, 0.000, 0.246], [0.000, 0.000, 0.754], [0.500, 0.500, 0.000], [0.500, 0.500, 0.500], [0.195, 0.195, 0.000], [0.235, 0.235, 0.500], [0.318, 0.682, 0.287], [0.318, 0.682, 0.713], [0.682, 0.318, 0.287], [0.682, 0.318, 0.713], [0.765, 0.765, 0.500], [0.805, 0.805, 0.000]], "sg": "No. 65", "crystal_system": "orthorhombic"}

***

{"formula": "DyYOsO6", "functional": "PBE", "state": "relaxed", "lattice_angstrom": [[5.493, 0.000, 0.000], [-2.746, 4.757, 0.000], [0.000, 0.000, 9.513]], "species": ["Dy", "Dy", "Y", "Y", "Os", "Os", "O", "O", "O", "O", "O", "O", "O", "O", "O", "O", "O", "O"], "fractional_positions": [[0.333, 0.667, 0.250], [0.667, 0.333, 0.750], [0.000, 0.000, 0.000], [0.000, 0.000, 0.500], [0.333, 0.667, 0.750], [0.667, 0.333, 0.250], [0.044, 0.370, 0.635], [0.044, 0.673, 0.865], [0.327, 0.370, 0.865], [0.327, 0.956, 0.635], [0.370, 0.044, 0.135], [0.370, 0.327, 0.365], [0.630, 0.673, 0.635], [0.630, 0.956, 0.865], [0.673, 0.044, 0.365], [0.673, 0.630, 0.135], [0.956, 0.327, 0.135], [0.956, 0.630, 0.365]], "sg": "No. 163", "crystal_system": "trigonal"}

***

{"formula": "DyY2OsO8", "functional": "PBE", "state": "relaxed", "lattice_angstrom": [[3.554, -3.584, 0.000], [3.554, 3.584, 0.000], [0.000, 0.000, 6.779]], "species": ["Dy", "Y", "Y", "Os", "O", "O", "O", "O", "O", "O", "O", "O"], "fractional_positions": [[0.000, 0.000, 0.000], [0.500, 0.500, 0.247], [0.500, 0.500, 0.753], [0.000, 0.000, 0.500], [0.182, 0.818, 0.290], [0.182, 0.818, 0.710], [0.264, 0.264, 0.500], [0.307, 0.307, 0.000], [0.693, 0.693, 0.000], [0.736, 0.736, 0.500], [0.818, 0.182, 0.290], [0.818, 0.182, 0.710]], "sg": "No. 65", "crystal_system": "orthorhombic"}

***

Total magnetic moment per entry: 4.0, 1.0, 1.0, 0.0, 1.0, 4.0, 4.0, 1.0, 2.1, 1.0, 2.5, 1.0, 1.0, 4.0, 1.0, 4.0, 1.0 μB/cell
Formation energy without anion corrections per entry: -21.15, -29.86, -17.44, -16.08, -23.78, -21.47, -21.18, -30.17, -19.33, -30.36, -20.68, -14.06, -30.91, -21.64, -30.65, -21.30, -30.29 eV per formula unit
DFT total energy per entry: -71.48, -94.74, -64.95, -62.63, -84.85, -73.38, -71.48, -94.99, -66.59, -95.12, -75.59, -64.38, -95.35, -71.70, -95.22, -73.35, -98.71 eV per formula unit